--- w ---
The following is a DFT calculation (PBE-GGA) of an optimized crystal structure of TePH.

It has space group Cm (No. 8), with a = 8.1100 Å, b = 3.6546 Å, c = 5.1032 Å, α = 90.00°, β = 101.53° and γ = 90.00°. The asymmetric unit holds Te at (0.0000, 0.0000, 0.0000), P at (0.1216, 0.5000, 0.3240) and H at (0.4797, 0.0000, 0.4546).

Its total magnetization is 0.00 μB/f.u.


--- x ---
The following is a DFT calculation (PBE-GGA) of an optimized crystal structure of TePH.

It has space group P1 (No. 1), with a = 3.8762 Å, b = 6.2107 Å, c = 6.5150 Å, α = 84.51°, β = 79.01° and γ = 81.15°. The asymmetric unit holds Te at (0.0000, 0.0000, 0.0000), Te at (0.3740, 0.3702, 0.5568), P at (0.8310, 0.6432, 0.4770), P at (0.9049, 0.6144, 0.1304), H at (0.3635, 0.8982, 0.8328) and H at (0.5290, 0.6592, 0.1363).

Its total magnetization is 0.00 μB/f.u.


Which is the most stable structure? w is the most stable.


--- w ---
The following is a DFT calculation (PBE-GGA) of an optimized crystal structure of Ga2PbSe.

It has space group I-42d (No. 122), with a = 6.1897 Å, b = 6.1897 Å, c = 12.4013 Å, α = 90.00°, β = 90.00° and γ = 90.00°. The asymmetric unit holds Ga at (0.2346, 0.2500, 0.1250), Pb at (0.0000, 0.0000, 0.5000) and Se at (0.0000, 0.0000, 0.0000).

Its total magnetization is 0.00 μB/f.u.


--- x ---
The following is a DFT calculation (PBE-GGA) of an optimized crystal structure of Ga2PbSe.

It has space group Fm-3m (No. 225), with a = 7.2470 Å, b = 7.2470 Å, c = 7.2470 Å, α = 90.00°, β = 90.00° and γ = 90.00°. The asymmetric unit holds Ga at (0.2500, 0.2500, 0.2500), Pb at (0.0000, 0.0000, 0.0000) and Se at (0.0000, 0.0000, 0.5000).

Its total magnetization is 0.00 μB/f.u.


Which is the most stable structure? w is the most stable.


--- w ---
The following is a DFT calculation (PBE-GGA) of an optimized crystal structure of NaBeH.

It has space group P-1 (No. 2), with a = 3.0038 Å, b = 4.0139 Å, c = 8.0157 Å, α = 91.89°, β = 90.97° and γ = 111.97°. The asymmetric unit holds Na at (0.1426, 0.2557, 0.3176), Be at (0.3592, 0.7177, 0.0042) and H at (0.4848, 0.9820, 0.8689).

Its total magnetization is 0.00 μB/f.u.


--- x ---
The following is a DFT calculation (PBE-GGA) of an optimized crystal structure of NaBeH.

It has space group P-1 (No. 2), with a = 4.0221 Å, b = 5.7024 Å, c = 5.7435 Å, α = 101.41°, β = 108.71° and γ = 107.70°. The asymmetric unit holds Na at (0.0000, 0.0000, 0.0000), Na at (0.0000, 0.5000, 0.5000), Be at (0.2692, 0.0149, 0.5155) and H at (0.3272, 0.8278, 0.3291).

Its total magnetization is 0.00 μB/f.u.


Which is the most stable structure? w is the most stable.


--- w ---
The following is a DFT calculation (PBE-GGA) of an optimized crystal structure of Zr2Cd2Hg.

It has space group P4/mbm (No. 127), with a = 8.1586 Å, b = 8.1586 Å, c = 3.5693 Å, α = 90.00°, β = 90.00° and γ = 90.00°. The asymmetric unit holds Zr at (0.1454, 0.3546, 0.0000), Cd at (0.1523, 0.6523, 0.5000) and Hg at (0.0000, 0.0000, 0.0000).

Its total magnetization is 0.00 μB/f.u.


--- x ---
The following is a DFT calculation (PBE-GGA) of an optimized crystal structure of Zr2Cd2Hg.

It has space group P-1 (No. 2), with a = 3.2257 Å, b = 5.7208 Å, c = 6.4733 Å, α = 80.99°, β = 75.59° and γ = 73.78°. The asymmetric unit holds Zr at (0.1017, 0.2021, 0.0951), Cd at (0.2902, 0.6116, 0.3075) and Hg at (0.5000, 0.0000, 0.5000).

Its total magnetization is 0.00 μB/f.u.


Which is the most stable structure? x is the most stable.


--- w ---
The following is a DFT calculation (PBE-GGA) of an optimized crystal structure of SrTa2Br.

It has space group C2/m (No. 12), with a = 5.6802 Å, b = 13.2528 Å, c = 3.3326 Å, α = 90.00°, β = 125.82° and γ = 90.00°. The asymmetric unit holds Sr at (0.0000, 0.0000, 0.0000), Ta at (0.2500, 0.2500, 0.5000) and Br at (0.0000, 0.5000, 0.0000).

Its total magnetization is 0.00 μB/f.u.


--- x ---
The following is a DFT calculation (PBE-GGA) of an optimized crystal structure of SrTa2Br.

It has space group Fm-3m (No. 225), with a = 7.0788 Å, b = 7.0788 Å, c = 7.0788 Å, α = 90.00°, β = 90.00° and γ = 90.00°. The asymmetric unit holds Sr at (0.0000, 0.0000, 0.0000), Ta at (0.2500, 0.2500, 0.2500) and Br at (0.0000, 0.0000, 0.5000).

Its total magnetization is 0.00 μB/f.u.


Which is the most stable structure? w is the most stable.